Entry from the Alexandria database: a relaxed structure of InCoO3 (GGA+U).

The structure in POSCAR format:
```
InCoO3
1.0
-1.055 3.057 1.768
1.159 -1.443 3.187
3.336 1.469 -0.549
Co O In
1 3 1
direct
0.000 0.000 0.000
0.500 0.000 0.000
0.000 0.500 0.000
0.000 0.000 0.500
0.500 0.500 0.500
```

**Raw total energy**: -5.235 eV/atom